Entry 1:
Material: MgRe2Ge
Method: DFT, PBE
State: relaxed

The structure in extended XYZ format:
```
8
Lattice="7.644 0.000 0.000 0.000 7.644 0.000 3.822 3.822 2.445" Properties=species:S:1:pos:R:3 pbc="T T T"
Re 6.245 1.911 0.611
Re 1.400 5.733 0.611
Re 5.733 5.222 1.834
Re 9.555 10.067 1.834
Ge 0.000 0.000 0.000
Ge 7.644 3.822 1.222
Mg 3.822 3.822 0.000
Mg 3.822 7.644 1.222
```

ΔE_f = 0.77 eV/atom
excess energy over the best structure of this formula in the dataset = 0.218 eV per atom
DOS at the Fermi energy = 1.13 states/eV/cell
DFT total energy = -7.008 eV/atom

Entry 2:
Material: CuIr2Se
Method: DFT, PBE
State: relaxed

The structure in extended XYZ format:
```
4
Lattice="4.553 -0.008 0.000 0.937 4.455 0.000 -2.745 -2.224 2.872" Properties=species:S:1:pos:R:3 pbc="T T T"
Cu 2.276 -0.004 1.436
Ir 0.000 0.000 0.000
Ir 2.745 2.224 0.000
Se 0.469 2.228 1.436
```

formation energy from raw total energies = 404 meV per atom
DOS at the Fermi energy = 2.27 states/eV/cell
DFT total energy = -5.922 eV/atom

Entry 3:
Material: CdFe2CuNi
Method: DFT, PBE
State: relaxed

The structure in extended XYZ format:
```
5
Lattice="-2.896 -2.026 3.184 -0.891 -3.417 -2.985 3.661 -2.483 1.750" Properties=species:S:1:pos:R:3 pbc="T T T"
Ni -0.063 -3.963 0.974
Fe 1.830 -1.241 0.875
Fe -1.448 -1.013 1.592
Cu -0.445 -1.709 -1.493
Cd 0.000 0.000 0.000
```

ΔE_f = 1.75 eV/atom
DOS at the Fermi energy = 6.95 states/eV/cell
DFT total energy = -3.790 eV/atom

Entry 4:
Material: Pr3Nd5Tl2
Method: DFT, PBE
State: relaxed

The structure in extended XYZ format:
```
20
Lattice="6.766 0.000 0.000 3.383 10.009 -2.114 3.383 0.618 10.211" Properties=species:S:1:pos:R:3 pbc="T T T"
Pr 1.692 0.000 0.000
Pr 5.075 0.000 0.000
Pr 6.766 4.151 8.219
Pr 6.766 6.477 -0.121
Pr 10.150 9.026 1.821
Pr 3.383 1.602 6.277
Nd 5.075 5.314 4.049
Nd 8.458 5.314 4.049
Nd 8.458 7.949 6.057
Nd 8.458 2.679 2.041
Nd 5.075 2.679 2.041
Nd 5.075 7.949 6.057
Nd 3.383 5.572 1.099
Nd 10.150 5.056 6.998
Nd 6.766 2.539 5.080
Nd 6.766 8.089 3.017
Tl 3.383 7.255 -1.384
Tl 10.150 3.373 9.482
Tl 6.766 0.590 7.362
Tl 6.766 10.037 0.736
```

ΔE_f = 0.07 eV/atom
DOS at the Fermi energy = 27.66 states/eV/cell
DFT total energy = -4.221 eV/atom

Entry 5:
Material: AlAs3
Method: DFT, PBE
State: relaxed

The structure in extended XYZ format:
```
16
Lattice="-1.257 1.440 7.339 2.536 -4.753 1.367 8.052 4.442 0.508" Properties=species:S:1:pos:R:3 pbc="T T T"
As 5.937 3.428 1.142
As 2.498 -0.350 5.213
As 6.833 1.479 4.001
As 3.393 -2.299 8.072
As 7.084 3.657 5.237
As 1.344 -0.569 1.165
As 5.647 0.407 7.901
As 4.587 -1.238 4.124
As 2.247 -2.528 3.976
As 7.987 1.698 8.049
As 3.683 0.721 1.312
As 4.744 2.366 5.090
Al 7.432 0.162 6.022
Al 3.519 -1.813 1.821
Al 5.812 2.941 7.392
Al 1.899 0.967 3.191
```

ΔE_f = 0.02 eV/atom
excess energy over the best structure of this formula in the dataset = 0.117 eV per atom
DOS at the Fermi energy = 0.03 states/eV/cell
DFT total energy = -4.406 eV/atom

Entry 6:
Material: Cd3In2Hg3
Method: DFT, PBE
State: relaxed

The structure in extended XYZ format:
```
16
Lattice="4.348 0.000 0.000 -2.174 5.443 0.000 0.000 0.000 17.756" Properties=species:S:1:pos:R:3 pbc="T T T"
Cd 2.174 4.633 2.841
Cd 0.000 0.809 11.719
Cd 2.174 4.633 6.037
Cd 0.000 0.809 14.915
Cd 2.174 0.875 4.439
Cd 0.000 4.568 13.317
In 2.174 2.533 10.152
In 0.000 2.909 1.274
In 2.174 2.533 16.482
In 0.000 2.909 7.604
Hg 2.174 0.747 1.360
Hg 0.000 4.696 10.238
Hg 2.174 0.747 7.517
Hg 0.000 4.696 16.395
Hg 0.000 2.918 4.439
Hg 2.174 2.525 13.317
```

ΔE_f = 0.04 eV/atom
excess energy over the best structure of this formula in the dataset = 0.021 eV per atom
DOS at the Fermi energy = 7.94 states/eV/cell
DFT total energy = -1.100 eV/atom